First-principles (PBE) data for an optimized crystal structure of HfHPt2Rh, as listed in Alexandria.

Structure (CIF):
```
data_HfHPt2Rh
_cell_length_a 4.020
_cell_length_b 4.020
_cell_length_c 4.129
_cell_angle_alpha 90.00
_cell_angle_beta 90.00
_cell_angle_gamma 90.00
_space_group_name_H-M_alt 'P 1'
_space_group_IT_number 1
loop_
_space_group_symop_operation_xyz
'x,y,z'
loop_
_atom_site_label
_atom_site_type_symbol
_atom_site_fract_x
_atom_site_fract_y
_atom_site_fract_z
Rh1 Rh 0.000 0.000 0.500
Pt1 Pt 0.000 0.500 0.000
Pt2 Pt 0.500 0.000 0.000
Hf1 Hf 0.500 0.500 0.500
H1 H 0.000 0.000 0.000
```

Summary:
- V: 66.72 Å³/f.u.
- Total magnetic moment: 0.0 μB/f.u.
- E above lowest polymorph: 0 meV per atom